[1]
The following is a GGA-PBE calculation of BaZn2CdRh after structural relaxation, from Alexandria.

```
BaZn2CdRh
1.0
4.933 0.000 0.000
0.000 4.933 0.000
0.000 0.000 5.244
Ba Zn Cd Rh
1 2 1 1
direct
0.000 0.000 0.000
0.000 0.500 0.500
0.500 0.000 0.500
0.500 0.500 0.000
0.500 0.500 0.500
```

Computed properties:
The value obtained for the total energy is -2.842 eV/atom. The calculation puts the energy of formation from the pure elements at -0.295 eV/atom.

---

[2]
The following is a GGA-PBE calculation of RbIn6Ga after structural relaxation, from Alexandria.

```
RbIn6Ga
1.0
5.120 0.000 0.000
0.000 5.120 0.000
0.000 0.000 9.146
Rb In Ga
1 6 1
direct
0.000 0.000 0.000
0.000 0.500 0.330
0.000 0.500 0.670
0.500 0.000 0.330
0.500 0.000 0.670
0.500 0.500 0.159
0.500 0.500 0.841
0.000 0.000 0.500
```

Computed properties:
The value obtained for the total energy is -2.629 eV/atom. The calculation puts the energy of formation from the pure elements at -0.076 eV/atom.

---

[3]
The following is a GGA-PBE calculation of Dy3Cu2Os after structural relaxation, from Alexandria.

```
Dy3Cu2Os
1.0
3.428 0.000 0.000
0.000 3.428 0.000
0.000 0.000 10.503
Dy Cu Os
3 2 1
direct
0.000 0.000 0.000
0.000 0.000 0.341
0.000 0.000 0.659
0.500 0.500 0.163
0.500 0.500 0.837
0.500 0.500 0.500
```

Computed properties:
The value obtained for the total energy is -5.790 eV/atom. The calculation puts the energy of formation from the pure elements at -0.252 eV/atom. Its relative energy among the computed polymorphs is 0 meV per atom.

---

[4]
The following is a GGA-PBE calculation of RbZnSb2I after structural relaxation, from Alexandria.

```
RbZnSb2I
1.0
5.220 0.000 0.000
0.000 5.220 0.000
0.000 0.000 7.166
Rb Zn Sb I
1 1 2 1
direct
0.000 0.000 0.000
0.500 0.500 0.500
0.000 0.500 0.500
0.500 0.000 0.500
0.500 0.500 0.000
```

Computed properties:
Its formation energy without anion corrections is -0.3 eV/f.u. The value obtained for the total energy is -2.470 eV/atom. Its relative energy among the computed polymorphs is 0 meV per atom.

---

[5]
The following is a GGA-PBE calculation of LiEuTl after structural relaxation, from Alexandria.

```
LiEuTl
1.0
3.917 0.000 0.000
0.000 3.917 0.000
0.000 0.000 10.869
Li Eu Tl
2 2 2
direct
0.000 0.000 0.000
0.500 0.500 0.500
0.000 0.000 0.696
0.500 0.500 0.196
0.000 0.000 0.382
0.500 0.500 0.882
```

Computed properties:
The value obtained for the total energy is -5.090 eV/atom. The calculation puts the energy of formation from the pure elements at -0.239 eV/atom. Its relative energy among the computed polymorphs is 34 meV per atom.

---

[6]
The following is a GGA-PBE calculation of SbSe2Cl after structural relaxation, from Alexandria.

```
SbSe2Cl
1.0
3.629 0.000 0.000
0.000 4.816 0.000
0.000 0.000 10.770
Sb Se Cl
2 4 2
direct
0.000 0.000 0.000
0.500 0.500 0.500
0.000 0.500 0.286
0.000 0.500 0.714
0.500 0.000 0.214
0.500 0.000 0.786
0.000 0.000 0.500
0.500 0.500 0.000
```

Computed properties:
Its formation energy without anion corrections is 0.3 eV/f.u. The value obtained for the total energy is -3.162 eV/atom. Its relative energy among the computed polymorphs is 383 meV per atom.

---

[7]
The following is a GGA-PBE calculation of MgCd3Ga2 after structural relaxation, from Alexandria.

```
MgCd3Ga2
1.0
4.390 0.000 0.000
0.000 13.281 0.000
0.000 0.000 4.341
Mg Cd Ga
2 6 4
direct
0.000 0.000 0.000
0.500 0.500 0.000
0.000 0.168 0.500
0.000 0.500 0.500
0.000 0.832 0.500
0.500 0.000 0.500
0.500 0.332 0.500
0.500 0.668 0.500
0.000 0.331 0.000
0.000 0.669 0.000
0.500 0.169 0.000
0.500 0.831 0.000
```

Computed properties:
The value obtained for the total energy is -1.737 eV/atom. The calculation puts the energy of formation from the pure elements at -0.004 eV/atom.

---

[8]
The following is a GGA-PBE calculation of Pa2Si2Ge after structural relaxation, from Alexandria.

```
Pa2Si2Ge
1.0
6.837 0.000 0.000
0.000 6.837 0.000
0.000 0.000 4.305
Pa Si Ge
4 4 2
direct
0.179 0.321 0.000
0.321 0.821 0.000
0.679 0.179 0.000
0.821 0.679 0.000
0.121 0.621 0.500
0.379 0.121 0.500
0.621 0.879 0.500
0.879 0.379 0.500
0.000 0.000 0.500
0.500 0.500 0.500
```

Computed properties:
Its formation energy without anion corrections is -2.1 eV/f.u. The value obtained for the total energy is -7.302 eV/atom. Its relative energy among the computed polymorphs is 32 meV per atom.

---

[9]
The following is a GGA-PBE calculation of Rb2CdWS4 after structural relaxation, from Alexandria.

```
Rb2CdWS4
1.0
0.000 6.437 11.869
3.711 0.000 11.869
3.711 6.437 0.000
Rb Cd W S
4 2 2 8
direct
0.057 0.057 0.693
0.307 0.307 0.943
0.693 0.693 0.057
0.943 0.943 0.307
0.125 0.125 0.125
0.875 0.875 0.875
0.375 0.375 0.375
0.625 0.625 0.625
0.039 0.608 0.520
0.332 0.520 0.608
0.392 0.961 0.668
0.480 0.668 0.961
0.520 0.332 0.039
0.608 0.039 0.332
0.668 0.480 0.392
0.961 0.392 0.480
```

Computed properties:
Its formation energy without anion corrections is -5.7 eV/f.u. The value obtained for the total energy is -4.751 eV/atom.

---

[10]
The following is a GGA-PBE calculation of HPd3Pt after structural relaxation, from Alexandria.

```
HPd3Pt
1.0
4.789 0.000 0.000
2.376 4.187 0.000
2.228 1.477 6.874
H Pd Pt
2 6 2
direct
0.000 0.000 0.000
0.306 0.419 0.982
0.148 0.526 0.584
0.242 0.312 0.243
0.366 0.070 0.908
0.582 0.639 0.245
0.695 0.420 0.908
0.820 0.183 0.586
0.484 0.856 0.579
0.909 0.969 0.249
```

Computed properties:
The value obtained for the total energy is -4.951 eV/atom. Its relative energy among the computed polymorphs is 79 meV per atom.

---

[11]
The following is a GGA-PBE calculation of NiIrSeN2 after structural relaxation, from Alexandria.

```
NiIrSeN2
1.0
3.488 0.000 0.000
0.000 3.488 0.000
0.000 0.000 7.502
Ni Ir Se N
1 1 1 2
direct
0.000 0.000 0.000
0.500 0.500 0.500
0.000 0.000 0.500
0.000 0.500 0.000
0.500 0.000 0.000
```

Computed properties:
Its formation energy without anion corrections is 7.3 eV/f.u. The value obtained for the total energy is -5.503 eV/atom. Its relative energy among the computed polymorphs is 535 meV per atom.

---

[12]
The following is a GGA-PBE calculation of Pm2EuAl after structural relaxation, from Alexandria.

```
Pm2EuAl
1.0
4.969 0.000 0.000
0.000 4.969 0.000
0.000 0.000 4.783
Pm Eu Al
2 1 1
direct
0.000 0.500 0.000
0.500 0.000 0.000
0.000 0.000 0.500
0.500 0.500 0.500
```

Computed properties:
The value obtained for the total energy is -5.988 eV/atom. The calculation puts the energy of formation from the pure elements at -0.109 eV/atom. Its relative energy among the computed polymorphs is 23 meV per atom.

---

| no. | density (g cm⁻³) | total magnetic moment (Bohr magnetons per cell) |
| --- | --- | --- |
| 1 | 6.3 | 0.000 |
| 2 | 5.8 | 0.000 |
| 3 | 10.8 | 0.000 |
| 4 | 4.4 | 0.000 |
| 5 | 7.2 | 14.185 |
| 6 | 5.6 | 0.000 |
| 7 | 6.6 | 0.000 |
| 8 | 9.8 | 0.001 |
| 9 | 3.5 | 0.000 |
| 10 | 12.4 | 0.000 |
| 11 | 6.5 | 0.234 |
| 12 | 6.6 | 7.217 |